[1]
The following is a DFT calculation (GGA-PBE) of crystalline VRu at its relaxed geometry.

Calculated values
Space group: I4/m, No. 87
E_tot, eV for the cell shown: -144.8
Formation energy, eV/atom: 0.146

Cell lengths 7.5746, 7.5746, 4.2502 Å; angles 90.00, 90.00, 90.00 degrees
With the nearest neighbours (Å) after each atom.
Fractional positions:
V: 0.4846 0.1791 0.0000  3 Ru 2.40-2.45
V: 0.5154 0.8209 0.0000  3 Ru 2.40-2.45
V: 0.8209 0.4846 0.0000  3 Ru 2.40-2.45
V: 0.1791 0.5154 0.0000  3 Ru 2.40-2.45
V: 0.9846 0.6791 0.5000  3 Ru 2.40-2.45
V: 0.0154 0.3209 0.5000  3 Ru 2.40-2.45
V: 0.3209 0.9846 0.5000  3 Ru 2.40-2.45
V: 0.6791 0.0154 0.5000  3 Ru 2.40-2.45
Ru: 0.2034 0.8738 0.0000  3 V 2.40-2.45, 2 Ru 2.56
Ru: 0.7966 0.1262 0.0000  3 V 2.40-2.45, 2 Ru 2.56
Ru: 0.1262 0.2034 0.0000  3 V 2.40-2.45, 2 Ru 2.56
Ru: 0.8738 0.7966 0.0000  3 V 2.40-2.45, 2 Ru 2.56
Ru: 0.7034 0.3738 0.5000  3 V 2.40-2.45, 2 Ru 2.56
Ru: 0.2966 0.6262 0.5000  3 V 2.40-2.45, 2 Ru 2.56
Ru: 0.6262 0.7034 0.5000  3 V 2.40-2.45, 2 Ru 2.56
Ru: 0.3738 0.2966 0.5000  3 V 2.40-2.45, 2 Ru 2.56

---

[2]
The following is a DFT calculation (GGA-PBE) of crystalline VRu5 at its relaxed geometry.

Calculated values
Space group: Cmmm, No. 65
E_tot, eV for the cell shown: -54.9
Relative energy among the computed polymorphs, eV per atom: 0.0000
Formation energy, eV/atom: 0.102

Cell lengths 2.8649, 4.3205, 7.1469 Å; angles 107.59, 90.00, 90.00 degrees
With the nearest neighbours (Å) after each atom.
Fractional positions:
Ru: 0.0000 0.6869 0.3737  12 Ru 2.66-2.92
Ru: 0.0000 0.3131 0.6263  12 Ru 2.66-2.92
Ru: 0.5000 0.5000 0.0000  4 V 2.59, 2 Ru 2.86
Ru: 0.5000 0.1437 0.2874  2 V 2.43, 6 Ru 2.66-2.72
Ru: 0.5000 0.8563 0.7126  2 V 2.43, 6 Ru 2.66-2.72
V: 0.0000 0.0000 0.0000  8 Ru 2.43-2.59

---

[3]
The following is a DFT calculation (GGA-PBE) of crystalline V7Ru3 at its relaxed geometry.

Calculated values
Space group: P6_3/mmc, No. 194
E_tot, eV for the cell shown: -182.6
Formation energy, eV/atom: 0.036

Cell lengths 5.0512, 8.1018, 8.1018 Å; angles 120.00, 90.00, 90.00 degrees
With the nearest neighbours (Å) after each atom.
Fractional positions:
V: 0.9163 0.6667 0.3333  6 V 2.66
V: 0.4163 0.3333 0.6667  6 V 2.66
V: 0.9157 0.8791 0.7582  4 Ru 2.58-2.83
V: 0.9157 0.8791 0.1209  4 Ru 2.58-2.83
V: 0.9157 0.2418 0.1209  4 Ru 2.58-2.83
V: 0.4157 0.1209 0.2418  4 Ru 2.58-2.83
V: 0.4157 0.1209 0.8791  4 Ru 2.58-2.83
V: 0.4157 0.7582 0.8791  4 Ru 2.58-2.83
V: 0.1659 0.4999 0.9998  4 Ru 2.45, 4 V 2.53-2.66
V: 0.1659 0.4999 0.5001  4 Ru 2.45, 4 V 2.53-2.66
V: 0.1659 0.0002 0.5001  4 Ru 2.45, 4 V 2.53-2.66
V: 0.6659 0.5001 0.0002  4 Ru 2.45, 4 V 2.53-2.66
V: 0.6659 0.5001 0.4999  4 Ru 2.45, 4 V 2.53-2.66
V: 0.6659 0.9998 0.4999  4 Ru 2.45, 4 V 2.53-2.66
Ru: 0.9157 0.2120 0.4240  6 V 2.45-2.58
Ru: 0.9157 0.2120 0.7880  6 V 2.45-2.58
Ru: 0.9157 0.5760 0.7880  6 V 2.45-2.58
Ru: 0.4157 0.7880 0.5760  6 V 2.45-2.58
Ru: 0.4157 0.7880 0.2120  6 V 2.45-2.58
Ru: 0.4157 0.4240 0.2120  6 V 2.45-2.58

---

[4]
The following is a DFT calculation (GGA-PBE) of crystalline VRu at its relaxed geometry.

Calculated values
Space group: Pm-3m, No. 221
E_tot, eV for the cell shown: -18.9
Formation energy, eV/atom: -0.228

Cell lengths 3.0139, 3.0139, 3.0139 Å; angles 90.00, 90.00, 90.00 degrees
With the nearest neighbours (Å) after each atom.
Fractional positions:
Ru: 0.5000 0.5000 0.5000  8 V 2.61
V: 0.0000 0.0000 0.0000  8 Ru 2.61

---

[5]
The following is a DFT calculation (GGA-PBE) of crystalline V13Ru2 at its relaxed geometry.

Calculated values
Space group: R-3m, No. 166
E_tot, eV for the cell shown: -128.4
Formation energy, eV/atom: 0.577

Cell lengths 6.6177, 6.6177, 7.4937 Å; angles 63.80, 63.80, 60.00 degrees
With the nearest neighbours (Å) after each atom.
Fractional positions:
V: 0.5000 0.5000 0.5000  6 V 2.46, 2 Ru 2.54
V: 0.3901 0.9995 0.2203  2 Ru 2.44-2.58, 5 V 2.56-2.58
V: 0.3901 0.3901 0.2203  2 Ru 2.44-2.58, 5 V 2.56-2.58
V: 0.9995 0.3901 0.2203  2 Ru 2.44-2.58, 5 V 2.56-2.58
V: 0.0005 0.6099 0.7797  2 Ru 2.44-2.58, 5 V 2.56-2.58
V: 0.6099 0.0005 0.7797  2 Ru 2.44-2.58, 5 V 2.56-2.58
V: 0.6099 0.6099 0.7797  2 Ru 2.44-2.58, 5 V 2.56-2.58
V: 0.2561 0.8698 0.6179  6 V 2.46-2.56
V: 0.2561 0.2561 0.6179  6 V 2.46-2.56
V: 0.8698 0.2561 0.6179  6 V 2.46-2.56
V: 0.1302 0.7439 0.3821  6 V 2.46-2.56
V: 0.7439 0.1302 0.3821  6 V 2.46-2.56
V: 0.7439 0.7439 0.3821  6 V 2.46-2.56
Ru: 0.3687 0.3687 0.8938  7 V 2.44-2.58
Ru: 0.6313 0.6313 0.1062  7 V 2.44-2.58

---

[6]
The following is a DFT calculation (GGA-PBE) of crystalline VRu at its relaxed geometry.

Calculated values
Space group: P6_3/mmc, No. 194
E_tot, eV for the cell shown: -34.2
Formation energy, eV/atom: 0.658

Cell lengths 4.0886, 4.0886, 4.9577 Å; angles 90.00, 90.00, 120.00 degrees
With the nearest neighbours (Å) after each atom.
Fractional positions:
V: 0.3333 0.6667 0.2500  5 Ru 2.36-2.48
V: 0.6667 0.3333 0.7500  5 Ru 2.36-2.48
Ru: 0.3333 0.6667 0.7500  5 V 2.36-2.48
Ru: 0.6667 0.3333 0.2500  5 V 2.36-2.48

---

[7]
The following is a DFT calculation (GGA-PBE) of crystalline VRu at its relaxed geometry.

Calculated values
Space group: Pm-3n, No. 223
E_tot, eV for the cell shown: -93.7
Formation energy, eV/atom: 1.392

Cell lengths 6.6544, 6.6544, 6.6544 Å; angles 90.00, 90.00, 90.00 degrees
With the nearest neighbours (Å) after each atom.
Fractional positions:
V: 0.2500 0.5000 0.0000  4 Ru 2.35
V: 0.7500 0.5000 0.0000  4 Ru 2.35
V: 0.5000 0.0000 0.2500  4 Ru 2.35
V: 0.5000 0.0000 0.7500  4 Ru 2.35
V: 0.0000 0.2500 0.5000  4 Ru 2.35
V: 0.0000 0.7500 0.5000  4 Ru 2.35
Ru: 0.2500 0.0000 0.5000  4 V 2.35
Ru: 0.7500 0.0000 0.5000  4 V 2.35
Ru: 0.0000 0.5000 0.2500  4 V 2.35
Ru: 0.0000 0.5000 0.7500  4 V 2.35
Ru: 0.5000 0.2500 0.0000  4 V 2.35
Ru: 0.5000 0.7500 0.0000  4 V 2.35

---

[8]
The following is a DFT calculation (GGA-PBE) of crystalline VRu at its relaxed geometry.

Calculated values
Space group: I4/m, No. 87
E_tot, eV for the cell shown: -141.8
Formation energy, eV/atom: 0.336

Cell lengths 9.2627, 9.2627, 2.7384 Å; angles 90.00, 90.00, 90.00 degrees
With the nearest neighbours (Å) after each atom.
Fractional positions:
V: 0.4088 0.8573 0.0000  4 Ru 2.39-2.59, 4 V 2.61
V: 0.5912 0.1427 0.0000  4 Ru 2.39-2.59, 4 V 2.61
V: 0.1427 0.4088 0.0000  4 Ru 2.39-2.59, 4 V 2.61
V: 0.8573 0.5912 0.0000  4 Ru 2.39-2.59, 4 V 2.61
V: 0.9088 0.3573 0.5000  4 Ru 2.39-2.59, 4 V 2.61
V: 0.0912 0.6427 0.5000  4 Ru 2.39-2.59, 4 V 2.61
V: 0.6427 0.9088 0.5000  4 Ru 2.39-2.59, 4 V 2.61
V: 0.3573 0.0912 0.5000  4 Ru 2.39-2.59, 4 V 2.61
Ru: 0.3877 0.3273 0.0000  4 V 2.39-2.59
Ru: 0.6123 0.6727 0.0000  4 V 2.39-2.59
Ru: 0.6727 0.3877 0.0000  4 V 2.39-2.59
Ru: 0.3273 0.6123 0.0000  4 V 2.39-2.59
Ru: 0.8877 0.8273 0.5000  4 V 2.39-2.59
Ru: 0.1123 0.1727 0.5000  4 V 2.39-2.59
Ru: 0.1727 0.8877 0.5000  4 V 2.39-2.59
Ru: 0.8273 0.1123 0.5000  4 V 2.39-2.59

---

[9]
The following is a DFT calculation (GGA-PBE) of crystalline VRu at its relaxed geometry.

Calculated values
Space group: P2_1/m, No. 11
E_tot, eV for the cell shown: -37.5
Formation energy, eV/atom: -0.167

Cell lengths 2.7137, 4.1463, 5.0284 Å; angles 90.00, 76.79, 90.00 degrees
With the nearest neighbours (Å) after each atom.
Fractional positions:
Ru: 0.6590 0.7500 0.6552  4 V 2.48-2.62, 2 Ru 2.71
Ru: 0.3410 0.2500 0.3448  4 V 2.48-2.62, 2 Ru 2.71
V: 0.1011 0.7500 0.1339  4 Ru 2.48-2.62, 4 V 2.60-2.71
V: 0.8989 0.2500 0.8661  4 Ru 2.48-2.62, 4 V 2.60-2.71

---

[10]
The following is a DFT calculation (GGA-PBE) of crystalline V3Ru5 at its relaxed geometry.

Calculated values
Space group: Cmmm, No. 65
E_tot, eV for the cell shown: -75.2
Formation energy, eV/atom: -0.188

Cell lengths 3.9946, 5.2909, 5.2909 Å; angles 99.17, 90.00, 90.00 degrees
With the nearest neighbours (Å) after each atom.
Fractional positions:
V: 0.0000 0.5000 0.5000  8 Ru 2.49-2.65
V: 0.5000 0.7855 0.2145  10 Ru 2.60-2.74
V: 0.5000 0.2145 0.7855  10 Ru 2.60-2.74
Ru: 0.0000 0.0000 0.0000  4 V 2.64, 8 Ru 2.65-2.79
Ru: 0.0000 0.5000 0.0000  6 V 2.65, 6 Ru 2.65-2.85
Ru: 0.0000 0.0000 0.5000  6 Ru 2.65-2.85, 6 V 2.65
Ru: 0.5000 0.7169 0.7169  6 V 2.49-2.74, 2 Ru 2.79
Ru: 0.5000 0.2831 0.2831  6 V 2.49-2.74, 2 Ru 2.79